Record 1
Here is a relaxed Ag2H4PdPt2 crystal from Alexandria via LeMat-Bulk. Energies are from PBE.

Unit cell a=3.289 b=7.178 c=4.855 alpha=101.84 beta=90.00 gamma=103.24
Element x y z (fractional)
Ag1 0.837 0.674 0.480
Ag2 0.163 0.326 0.520
H1 0.861 0.723 0.901
H2 0.139 0.277 0.099
H3 0.452 0.904 0.145
H4 0.548 0.096 0.855
Pd1 0.000 0.000 0.000
Pt1 0.330 0.659 0.999
Pt2 0.670 0.341 0.001

Summary:
VASP energy: -4.019 eV/atom
space-group type: C2/m (12)
density of states at the Fermi level: 1.031 states/eV per cell

---

Record 2
Here is a relaxed V4Ga2Mo crystal from Alexandria via LeMat-Bulk. Energies are from PBE.

Unit cell a=5.245 b=5.245 c=5.137 alpha=102.96 beta=102.96 gamma=124.10
Element x y z (fractional)
V1 0.341 0.659 0.000
V2 0.659 0.341 0.000
V3 0.271 0.271 0.541
V4 0.729 0.729 0.459
Ga1 0.750 0.250 0.500
Ga2 0.250 0.750 0.500
Mo1 0.000 0.000 0.000

Summary:
VASP energy: -7.437 eV/atom
space-group type: Fmmm (69)
density of states at the Fermi level: 5.413 states/eV per cell
relative energy among the computed polymorphs: 4.02 kcal/mol of atoms

---

Record 3
Here is a relaxed Tl2GaSi2 crystal from Alexandria via LeMat-Bulk. Energies are from PBE.

Unit cell a=3.505 b=3.505 c=9.834 alpha=79.73 beta=79.73 gamma=90.00
Element x y z (fractional)
Tl1 0.390 0.390 0.220
Tl2 0.610 0.610 0.780
Si1 0.750 0.250 0.500
Si2 0.250 0.750 0.500
Ga1 0.000 0.000 0.000

Summary:
formation energy (no corrections): 0.28 eV per atom
VASP energy: -3.444 eV/atom
space-group type: I4/mmm (139)
density of states at the Fermi level: 2.146 states/eV per cell
relative energy among the computed polymorphs: 0.00 kcal/mol of atoms

---

Record 4
Here is a relaxed Ac3B2Pt9Au crystal from Alexandria via LeMat-Bulk. Energies are from PBE.

Unit cell a=6.877 b=6.877 c=7.346 alpha=90.00 beta=90.00 gamma=120.00
Element x y z (fractional)
Ac1 0.333 0.667 0.659
Ac2 0.000 0.000 0.000
Ac3 0.667 0.333 0.341
B1 0.333 0.667 0.128
B2 0.667 0.333 0.872
Pt1 0.811 0.189 0.701
Pt2 0.811 0.622 0.701
Pt3 0.378 0.189 0.701
Pt4 0.622 0.811 0.299
Pt5 0.189 0.378 0.299
Pt6 0.189 0.811 0.299
Pt7 0.500 0.000 0.000
Pt8 0.000 0.500 0.000
Pt9 0.500 0.500 0.000
Au1 0.000 0.000 0.500

Summary:
VASP energy: -6.224 eV/atom
space-group type: P-3m1 (164)
density of states at the Fermi level: 6.622 states/eV per cell